{"formula": "Pr5Ho4Th2", "functional": "PBE", "state": "relaxed", "cell": [[-1.761, 3.875, 14.255], [1.761, -3.875, 14.255], [1.761, 3.875, -14.255]], "species": ["Pr", "Pr", "Pr", "Pr", "Pr", "Ho", "Ho", "Ho", "Ho", "Th", "Th"], "fractional_positions": [[0.000, 0.000, 0.000], [0.063, 0.305, 0.758], [0.453, 0.695, 0.758], [0.547, 0.305, 0.242], [0.937, 0.695, 0.242], [0.322, 0.500, 0.822], [0.400, 0.900, 0.500], [0.600, 0.100, 0.500], [0.678, 0.500, 0.178], [0.101, 0.601, 0.500], [0.899, 0.399, 0.500]], "relative_energy_mev_per_atom": 274, "magmom_total_mub_per_fu": 0.000}

{"formula": "Pr2HoTh", "functional": "PBE", "state": "relaxed", "cell": [[5.127, 0.000, 0.000], [0.000, 5.127, 0.000], [0.000, 0.000, 5.138]], "species": ["Pr", "Pr", "Ho", "Th"], "fractional_positions": [[0.000, 0.500, 0.000], [0.500, 0.000, 0.000], [0.000, 0.000, 0.500], [0.500, 0.500, 0.500]], "relative_energy_mev_per_atom": 19, "magmom_total_mub_per_fu": 0.000}

{"formula": "PrHo5Th2", "functional": "PBE", "state": "relaxed", "cell": [[3.530, 0.000, 0.000], [0.000, 11.184, 0.000], [0.000, 0.000, 13.254]], "species": ["Pr", "Pr", "Ho", "Ho", "Ho", "Ho", "Ho", "Ho", "Ho", "Ho", "Ho", "Ho", "Th", "Th", "Th", "Th"], "fractional_positions": [[0.000, 0.000, 0.000], [0.500, 0.500, 0.500], [0.000, 0.228, 0.368], [0.000, 0.228, 0.632], [0.000, 0.500, 0.000], [0.000, 0.772, 0.368], [0.000, 0.772, 0.632], [0.500, 0.000, 0.500], [0.500, 0.272, 0.132], [0.500, 0.272, 0.868], [0.500, 0.728, 0.132], [0.500, 0.728, 0.868], [0.000, 0.500, 0.261], [0.000, 0.500, 0.739], [0.500, 0.000, 0.239], [0.500, 0.000, 0.761]], "e_tot_ev_per_cell": -83.48, "magmom_total_mub_per_fu": 0.000}

no.,DOS at the Fermi energy (states/eV/atom)
1,1.615
2,1.208
3,1.526